{
  "formula": "Sr2MgHg3",
  "functional": "PBE-GGA",
  "state": "optimized geometry",
  "lattice": [[5.4828, 0.0000, 0.0000], [-2.7414, 4.7482, 0.0000], [0.0000, 0.0000, 13.2874]],
  "species": ["Sr", "Sr", "Sr", "Sr", "Mg", "Mg", "Hg", "Hg", "Hg", "Hg", "Hg", "Hg"],
  "fractional_positions": [[0.0000, 0.0000, 0.0000], [0.0000, 0.0000, 0.5000], [0.3333, 0.6667, 0.1827], [0.6667, 0.3333, 0.8173], [0.3333, 0.6667, 0.6642], [0.6667, 0.3333, 0.3358], [0.0000, 0.0000, 0.2545], [0.0000, 0.0000, 0.7455], [0.3333, 0.6667, 0.4305], [0.3333, 0.6667, 0.9066], [0.6667, 0.3333, 0.0934], [0.6667, 0.3333, 0.5695]],
  "de_polymorph_mev_per_atom": 0,
  "delta_e_f_ev_per_atom": -0.423,
  "crystal_system": "trigonal"
}


{
  "formula": "LaIrN2",
  "functional": "PBE-GGA",
  "state": "optimized geometry",
  "lattice": [[-2.4256, 2.4256, 5.5164], [2.4256, -2.4256, 5.5164], [2.4256, 2.4256, -5.5164]],
  "species": ["La", "La", "Ir", "Ir", "N", "N", "N", "N"],
  "fractional_positions": [[0.0000, 0.0000, 0.0000], [0.7500, 0.2500, 0.5000], [0.2500, 0.7500, 0.5000], [0.5000, 0.5000, 0.0000], [0.2086, 0.6250, 0.0836], [0.3750, 0.4586, 0.5836], [0.5414, 0.1250, 0.9164], [0.8750, 0.7914, 0.4164]],
  "de_polymorph_mev_per_atom": 87,
  "formation_energy_uncorrected_ev_per_fu": -0.98,
  "crystal_system": "tetragonal"
}


{
  "formula": "Tb2Dy3Mg",
  "functional": "PBE-GGA",
  "state": "optimized geometry",
  "lattice": [[8.6595, -3.0935, 0.0000], [8.6595, 3.0935, 0.0000], [0.0000, 0.0000, 6.9269]],
  "species": ["Tb", "Tb", "Tb", "Tb", "Dy", "Dy", "Dy", "Dy", "Dy", "Dy", "Mg", "Mg"],
  "fractional_positions": [[0.1766, 0.1931, 0.2500], [0.1931, 0.1766, 0.7500], [0.8069, 0.8234, 0.2500], [0.8234, 0.8069, 0.7500], [0.1945, 0.8055, 0.2500], [0.3592, 0.3592, 0.0000], [0.3592, 0.3592, 0.5000], [0.6408, 0.6408, 0.0000], [0.6408, 0.6408, 0.5000], [0.8055, 0.1945, 0.7500], [0.2977, 0.7023, 0.7500], [0.7023, 0.2977, 0.2500]],
  "de_polymorph_mev_per_atom": 0,
  "delta_e_f_ev_per_atom": 0.067,
  "crystal_system": "orthorhombic"
}


{
  "formula": "ReSbH",
  "functional": "PBE-GGA",
  "state": "optimized geometry",
  "lattice": [[3.0343, 0.0000, 0.0000], [-1.4206, 5.2132, 0.0000], [-0.1440, -2.6865, 6.4534]],
  "species": ["Re", "Re", "Sb", "Sb", "H", "H"],
  "fractional_positions": [[0.1114, 0.2822, 0.9997], [0.8886, 0.7178, 0.0003], [0.4174, 0.8526, 0.7135], [0.5826, 0.1474, 0.2865], [0.0551, 0.6007, 0.1958], [0.9449, 0.3993, 0.8042]],
  "energy_ev_per_fu": -19.14,
  "crystal_system": "triclinic"
}


{
  "formula": "PrNdDy2Tm",
  "functional": "PBE-GGA",
  "state": "optimized geometry",
  "lattice": [[4.2251, -5.7923, 0.0000], [4.2251, 5.7923, 0.0000], [0.0000, 0.0000, 7.1748]],
  "species": ["Pr", "Pr", "Nd", "Nd", "Dy", "Dy", "Dy", "Dy", "Tm", "Tm"],
  "fractional_positions": [[0.2310, 0.7690, 0.7500], [0.7690, 0.2310, 0.2500], [0.4994, 0.5006, 0.2500], [0.5006, 0.4994, 0.7500], [0.1863, 0.1863, 0.0000], [0.1863, 0.1863, 0.5000], [0.8137, 0.8137, 0.0000], [0.8137, 0.8137, 0.5000], [0.2200, 0.7800, 0.2500], [0.7800, 0.2200, 0.7500]],
  "delta_e_f_ev_per_atom": 0.385,
  "crystal_system": "orthorhombic"
}


{
  "formula": "Cd5Ga12Ge3",
  "functional": "PBE-GGA",
  "state": "optimized geometry",
  "lattice": [[-7.8999, 7.8999, 7.8999], [7.8999, -7.8999, 7.8999], [7.8999, 7.8999, -7.8999]],
  "species": ["Cd", "Cd", "Cd", "Cd", "Cd", "Cd", "Cd", "Cd", "Cd", "Cd", "Cd", "Cd", "Cd", "Cd", "Cd", "Cd", "Cd", "Cd", "Cd", "Cd", "Ga", "Ga", "Ga", "Ga", "Ga", "Ga", "Ga", "Ga", "Ga", "Ga", "Ga", "Ga", "Ga", "Ga", "Ga", "Ga", "Ga", "Ga", "Ga", "Ga", "Ga", "Ga", "Ga", "Ga", "Ga", "Ga", "Ga", "Ga", "Ga", "Ga", "Ga", "Ga", "Ga", "Ga", "Ga", "Ga", "Ga", "Ga", "Ga", "Ga", "Ga", "Ga", "Ga", "Ga", "Ga", "Ga", "Ga", "Ga", "Ge", "Ge", "Ge", "Ge", "Ge", "Ge", "Ge", "Ge", "Ge", "Ge", "Ge", "Ge"],
  "fractional_positions": [[0.0000, 0.0000, 0.0000], [0.0000, 0.0000, 0.5000], [0.0000, 0.5000, 0.0000], [0.0000, 0.5000, 0.5000], [0.1250, 0.7500, 0.8750], [0.1250, 0.8750, 0.2500], [0.2500, 0.1250, 0.8750], [0.2500, 0.6250, 0.3750], [0.3750, 0.2500, 0.6250], [0.3750, 0.6250, 0.7500], [0.5000, 0.0000, 0.0000], [0.5000, 0.0000, 0.5000], [0.5000, 0.5000, 0.0000], [0.5000, 0.5000, 0.5000], [0.6250, 0.3750, 0.2500], [0.6250, 0.7500, 0.3750], [0.7500, 0.3750, 0.6250], [0.7500, 0.8750, 0.1250], [0.8750, 0.1250, 0.7500], [0.8750, 0.2500, 0.1250], [0.0699, 0.6416, 0.4054], [0.0699, 0.9283, 0.6645], [0.0717, 0.2361, 0.1416], [0.0717, 0.3355, 0.9301], [0.0946, 0.7361, 0.6645], [0.0946, 0.8584, 0.4301], [0.1416, 0.0717, 0.2361], [0.1416, 0.5699, 0.9054], [0.1645, 0.2361, 0.5946], [0.1645, 0.4283, 0.5699], [0.2361, 0.1416, 0.0717], [0.2361, 0.5946, 0.1645], [0.2639, 0.3355, 0.9054], [0.2639, 0.4283, 0.3584], [0.3355, 0.9054, 0.2639], [0.3355, 0.9301, 0.0717], [0.3584, 0.2639, 0.4283], [0.3584, 0.5946, 0.9301], [0.4054, 0.0699, 0.6416], [0.4054, 0.8355, 0.7639], [0.4283, 0.3584, 0.2639], [0.4283, 0.5699, 0.1645], [0.4301, 0.0946, 0.8584], [0.4301, 0.8355, 0.5717], [0.5699, 0.1645, 0.4283], [0.5699, 0.9054, 0.1416], [0.5717, 0.4301, 0.8355], [0.5717, 0.6416, 0.7361], [0.5946, 0.1645, 0.2361], [0.5946, 0.9301, 0.3584], [0.6416, 0.4054, 0.0699], [0.6416, 0.7361, 0.5717], [0.6645, 0.0699, 0.9283], [0.6645, 0.0946, 0.7361], [0.7361, 0.5717, 0.6416], [0.7361, 0.6645, 0.0946], [0.7639, 0.4054, 0.8355], [0.7639, 0.8584, 0.9283], [0.8355, 0.5717, 0.4301], [0.8355, 0.7639, 0.4054], [0.8584, 0.4301, 0.0946], [0.8584, 0.9283, 0.7639], [0.9054, 0.1416, 0.5699], [0.9054, 0.2639, 0.3355], [0.9283, 0.6645, 0.0699], [0.9283, 0.7639, 0.8584], [0.9301, 0.0717, 0.3355], [0.9301, 0.3584, 0.5946], [0.1250, 0.2500, 0.3750], [0.1250, 0.3750, 0.7500], [0.2500, 0.3750, 0.1250], [0.2500, 0.8750, 0.6250], [0.3750, 0.1250, 0.2500], [0.3750, 0.7500, 0.1250], [0.6250, 0.2500, 0.8750], [0.6250, 0.8750, 0.7500], [0.7500, 0.1250, 0.3750], [0.7500, 0.6250, 0.8750], [0.8750, 0.6250, 0.2500], [0.8750, 0.7500, 0.6250]],
  "delta_e_f_ev_per_atom": 0.177,
  "crystal_system": "cubic"
}


{
  "formula": "CaBMo3",
  "functional": "PBE-GGA",
  "state": "optimized geometry",
  "lattice": [[4.3639, 0.0000, 0.0000], [0.0000, 4.3639, 0.0000], [0.0000, 0.0000, 4.3639]],
  "species": ["Ca", "B", "Mo", "Mo", "Mo"],
  "fractional_positions": [[0.0000, 0.0000, 0.0000], [0.5000, 0.5000, 0.5000], [0.0000, 0.5000, 0.5000], [0.5000, 0.0000, 0.5000], [0.5000, 0.5000, 0.0000]],
  "de_polymorph_mev_per_atom": 0,
  "delta_e_f_ev_per_atom": 0.520,
  "crystal_system": "cubic"
}


{
  "formula": "RbCa3Cr",
  "functional": "PBE-GGA",
  "state": "optimized geometry",
  "lattice": [[5.9729, 0.0000, 0.0000], [0.0000, 5.9729, 0.0000], [0.0000, 0.0000, 5.9729]],
  "species": ["Rb", "Ca", "Ca", "Ca", "Cr"],
  "fractional_positions": [[0.0000, 0.0000, 0.0000], [0.0000, 0.0000, 0.5000], [0.0000, 0.5000, 0.0000], [0.5000, 0.0000, 0.0000], [0.5000, 0.5000, 0.5000]],
  "de_polymorph_mev_per_atom": 970,
  "delta_e_f_ev_per_atom": 1.452,
  "crystal_system": "cubic"
}


Repeat the second record exactly.
{
  "formula": "LaIrN2",
  "functional": "PBE-GGA",
  "state": "optimized geometry",
  "lattice": [[-2.4256, 2.4256, 5.5164], [2.4256, -2.4256, 5.5164], [2.4256, 2.4256, -5.5164]],
  "species": ["La", "La", "Ir", "Ir", "N", "N", "N", "N"],
  "fractional_positions": [[0.0000, 0.0000, 0.0000], [0.7500, 0.2500, 0.5000], [0.2500, 0.7500, 0.5000], [0.5000, 0.5000, 0.0000], [0.2086, 0.6250, 0.0836], [0.3750, 0.4586, 0.5836], [0.5414, 0.1250, 0.9164], [0.8750, 0.7914, 0.4164]],
  "de_polymorph_mev_per_atom": 87,
  "formation_energy_uncorrected_ev_per_fu": -0.98,
  "crystal_system": "tetragonal"
}